No. 1
NdSc2CdPt2: relaxed, PBE.

The structure belongs to space group P-3m1 (No. 164); the cell edges are 4.7563, 4.7563 and 6.6120 Å and the angles 90.00°, 90.00° and 120.00°. The inequivalent atoms are Nd at (0.0000, 0.0000, 0.0000), Sc at (0.3333, 0.6667, 0.6675), Cd at (0.0000, 0.0000, 0.5000) and Pt at (0.3333, 0.6667, 0.2556).

Its formation energy is -0.918 eV/atom. The value obtained for the calculated total energy is -5.99 eV/atom.


No. 2
NdCdSi2Pt5: relaxed, PBE.

The structure belongs to space group P4/mmm (No. 123); the cell edges are 4.0902, 4.0902 and 10.9639 Å and the angles 90.00°, 90.00° and 90.00°. The inequivalent atoms are Nd at (0.0000, 0.0000, 0.0000), Cd at (0.0000, 0.0000, 0.5000), Si at (0.5000, 0.5000, 0.2144), Pt at (0.0000, 0.5000, 0.3200) and Pt at (0.5000, 0.5000, 0.0000).

The value obtained for the formation energy (no corrections) is -6.0 eV per formula unit. The value obtained for the calculated total energy is -5.85 eV/atom.


No. 3
Nd2CdSi4Pt3: relaxed, PBE.

The structure belongs to space group P-4m2 (No. 115); the cell edges are 4.2826, 4.2826 and 10.1806 Å and the angles 90.00°, 90.00° and 90.00°. The inequivalent atoms are Nd at (0.0000, 0.5000, 0.2413), Cd at (0.0000, 0.0000, 0.5000), Si at (0.0000, 0.0000, 0.0000), Si at (0.0000, 0.5000, 0.6482), Si at (0.5000, 0.5000, 0.0000), Pt at (0.0000, 0.5000, 0.8851) and Pt at (0.5000, 0.5000, 0.5000).

The value obtained for the formation energy (no corrections) is -9.3 eV per formula unit. The value obtained for the calculated total energy is -5.95 eV/atom.


No. 4
NdCdSnPt3: relaxed, PBE.

The structure belongs to space group Cmcm (No. 63); the cell edges are 6.8372, 12.6713 and 6.0604 Å and the angles 90.00°, 90.00° and 90.00°. The inequivalent atoms are Nd at (0.0000, 0.1782, 0.2500), Cd at (0.0000, 0.4206, 0.2500), Sn at (0.0000, 0.1407, 0.7500), Pt at (0.0000, 0.3471, 0.7500) and Pt at (0.2087, 0.0000, 0.0000).

Its formation energy is -0.432 eV/atom. The value obtained for the calculated total energy is -5.07 eV/atom.


No. 5
NdCdSnPt: relaxed, PBE.

The structure belongs to space group F-43m (No. 216); the cell edges are 7.1444, 7.1444 and 7.1444 Å and the angles 90.00°, 90.00° and 90.00°. The inequivalent atoms are Nd at (0.0000, 0.0000, 0.0000), Cd at (0.2500, 0.2500, 0.7500), Sn at (0.0000, 0.0000, 0.5000) and Pt at (0.2500, 0.2500, 0.2500).

Its formation energy is -0.579 eV/atom. The value obtained for the calculated total energy is -4.51 eV/atom.


No. 6
NdTlCdPt: relaxed, PBE.

The structure belongs to space group F-43m (No. 216); the cell edges are 7.1864, 7.1864 and 7.1864 Å and the angles 90.00°, 90.00° and 90.00°. The inequivalent atoms are Nd at (0.0000, 0.0000, 0.0000), Tl at (0.2500, 0.2500, 0.7500), Cd at (0.0000, 0.0000, 0.5000) and Pt at (0.2500, 0.2500, 0.2500).

Its formation energy is -0.462 eV/atom. The value obtained for the calculated total energy is -3.98 eV/atom.


No. 7
Nd2Zn4CdPt3: relaxed, PBE.

The structure belongs to space group P-4m2 (No. 115); the cell edges are 4.1052, 4.1052 and 11.7664 Å and the angles 90.00°, 90.00° and 90.00°. The inequivalent atoms are Nd at (0.0000, 0.5000, 0.2347), Zn at (0.0000, 0.0000, 0.0000), Zn at (0.0000, 0.5000, 0.6431), Zn at (0.5000, 0.5000, 0.0000), Cd at (0.0000, 0.0000, 0.5000), Pt at (0.0000, 0.5000, 0.8601) and Pt at (0.5000, 0.5000, 0.5000).

Its formation energy is -0.658 eV/atom. The value obtained for the calculated total energy is -4.03 eV/atom.


No. 8
NdZnCd2Pt2: relaxed, PBE.

The structure belongs to space group I4/mmm (No. 139); the cell edges are 5.3710, 5.3710 and 10.4925 Å and the angles 90.00°, 90.00° and 90.00°. The inequivalent atoms are Nd at (0.0000, 0.0000, 0.0000), Zn at (0.0000, 0.0000, 0.5000), Cd at (0.0000, 0.5000, 0.2500) and Pt at (0.0000, 0.0000, 0.2679).

Its formation energy is -0.228 eV/atom. The value obtained for the calculated total energy is -3.55 eV/atom.


Values for total magnetic moment, μB per formula unit, ordered as above
0.00, 0.00, 0.00, 0.00, 0.00, 0.00, 0.00, 0.00